Entry 1:
Crystalline CaNd2PdO6 at its relaxed geometry. Source: Alexandria via LeMat-Bulk, functional PBE.

The space group is P2_1/c (No. 14) and the conventional cell measures 5.6309, 5.9634 and 9.8656 Å, with angles of 90.00, 124.34 and 90.00 degrees. The distinct sites, in fractional coordinates, are Ca at (0.0000, 0.0000, 0.0000), Nd at (0.2693, 0.0645, 0.7477), Pd at (0.5000, 0.0000, 0.5000), O at (0.1443, 0.0534, 0.2676), O at (0.2647, 0.6846, 0.0574) and O at (0.3923, 0.2136, 0.0695).

The value obtained for the total energy is -0.51923 Ry/atom. As for the crystal system: monoclinic. Its spin magnetization is 0.00 μB/f.u.

=====

Entry 2:
Crystalline CaNdPdO4 at its relaxed geometry. Source: Alexandria via LeMat-Bulk, functional PBE.

The space group is Imma (No. 74) and the conventional cell measures 7.2715, 7.3897 and 7.9476 Å, with angles of 90.00, 90.00 and 90.00 degrees. The distinct sites, in fractional coordinates, are Ca at (0.0000, 0.2500, 0.1901), Nd at (0.2500, 0.2500, 0.7500), Pd at (0.0000, 0.0000, 0.5000), O at (0.0000, 0.0471, 0.7552) and O at (0.1846, 0.2500, 0.4544).

The value obtained for the total energy is -0.48776 Ry/atom. As for the crystal system: orthorhombic. Its spin magnetization is 0.00 μB/f.u.

=====

Entry 3:
Crystalline CaNd2PtO6 at its relaxed geometry. Source: Alexandria via LeMat-Bulk, functional PBE.

The space group is P2_1/c (No. 14) and the conventional cell measures 5.6433, 5.9780 and 9.8725 Å, with angles of 90.00, 124.24 and 90.00 degrees. The distinct sites, in fractional coordinates, are Ca at (0.0000, 0.0000, 0.0000), Nd at (0.2707, 0.0646, 0.7484), Pt at (0.5000, 0.0000, 0.5000), O at (0.1424, 0.0540, 0.2674), O at (0.2646, 0.6855, 0.0586) and O at (0.3923, 0.2122, 0.0688).

The value obtained for the total energy is -0.52928 Ry/atom. As for the crystal system: monoclinic. Its spin magnetization is 0.00 μB/f.u.